An optimized crystal structure of Na2Ca3MoO6. Source: the Alexandria database, functional PBE with a Hubbard U.

Computed properties:
Its space group is C2/m, No. 12. For the total energy, the calculation gives -6.10 eV per atom. As for the total magnetization: 2.00 μB/f.u.

abc: 5.8400 5.8400 5.6664
angles: 100.14 100.14 119.63
With the nearest neighbours (Å) after each atom.
Fractional coordinates of all 12 atoms:
Na 0.1678 0.8322 0.0000  6 O 2.43-2.46
Na 0.8322 0.1678 0.0000  6 O 2.43-2.46
Ca 0.0000 0.0000 0.5000  4 O 2.29
Ca 0.3283 0.6717 0.5000  6 O 2.31-2.50
Ca 0.6717 0.3283 0.5000  6 O 2.31-2.50
Mo 0.5000 0.5000 0.0000  6 O 2.09-2.17
O 0.1202 0.4182 0.7537  1 Mo 2.17, 2 Ca 2.29-2.31, 1 Na 2.43
O 0.2910 0.2910 0.2318  1 Mo 2.09
O 0.4182 0.1202 0.7537  1 Mo 2.17, 2 Ca 2.29-2.31, 1 Na 2.43
O 0.5818 0.8798 0.2463  1 Mo 2.17, 2 Ca 2.29-2.31, 1 Na 2.43
O 0.7090 0.7090 0.7682  1 Mo 2.09
O 0.8798 0.5818 0.2463  1 Mo 2.17, 2 Ca 2.29-2.31, 1 Na 2.43